[1]
12
Lattice="3.6929 0.0000 0.0000 -1.8464 3.1981 0.0000 0.0000 0.0000 34.0545" Properties=species:S:1:pos:R:3 comment="PBE-GGA Gd2CdI, optimized geometry" sg="No. 166" raw_formation_energy_ev_per_atom=-0.13 relative_energy_mev_per_atom=360.9 energy_ev_per_atom=-7.78 n_ef_per_ev_atom=2.11 pbc="T T T"
Gd 0.0000 0.0000 3.1983
Gd 0.0000 0.0000 30.8562
Gd 0.0000 2.1321 19.5048
Gd 0.0000 2.1321 25.9013
Gd 1.8464 1.0660 8.1532
Gd 1.8464 1.0660 14.5498
Cd 0.0000 0.0000 0.0000
Cd 0.0000 2.1321 22.7030
Cd 1.8464 1.0660 11.3515
I 0.0000 0.0000 17.0273
I 0.0000 2.1321 5.6758
I 1.8464 1.0660 28.3787



[2]
12
Lattice="4.2704 0.0000 0.0000 -2.1352 3.6983 0.0000 0.0000 0.0000 30.7880" Properties=species:S:1:pos:R:3 comment="PBE-GGA GdCdI2, optimized geometry" sg="No. 166" raw_formation_energy_ev_per_atom=-0.26 energy_ev_per_atom=-4.79 n_ef_per_ev_atom=1.49 pbc="T T T"
Gd 0.0000 0.0000 0.0000
Gd 0.0000 2.4655 20.5253
Gd 2.1352 1.2328 10.2626
Cd 0.0000 0.0000 15.3940
Cd 0.0000 2.4655 5.1313
Cd 2.1352 1.2328 25.6566
I 0.0000 0.0000 2.9538
I 0.0000 0.0000 27.8341
I 0.0000 2.4655 17.5715
I 0.0000 2.4655 23.4791
I 2.1352 1.2328 7.3088
I 2.1352 1.2328 13.2165



[3]
12
Lattice="3.6978 0.0000 0.0000 -1.8489 3.2024 0.0000 0.0000 0.0000 29.5678" Properties=species:S:1:pos:R:3 comment="PBE-GGA Gd2CdIn, optimized geometry" sg="No. 166" relative_energy_mev_per_atom=212.9 energy_ev_per_atom=-8.19 n_ef_per_ev_atom=1.02 e_form_ev_per_atom=-0.234 pbc="T T T"
Gd 0.0000 0.0000 7.4000
Gd 0.0000 0.0000 22.1678
Gd 0.0000 2.1350 12.3119
Gd 0.0000 2.1350 27.1118
Gd 1.8489 1.0675 2.4560
Gd 1.8489 1.0675 17.2559
Cd 0.0000 0.0000 14.7839
Cd 0.0000 2.1350 4.9280
Cd 1.8489 1.0675 24.6398
In 0.0000 0.0000 0.0000
In 0.0000 2.1350 19.7118
In 1.8489 1.0675 9.8559



[4]
4
Lattice="3.6846 0.0000 0.0000 0.0000 3.6846 0.0000 0.0000 0.0000 7.5595" Properties=species:S:1:pos:R:3 comment="PBE-GGA GdCdIn2, optimized geometry" sg="No. 123" relative_energy_mev_per_atom=154.4 energy_ev_per_atom=-5.35 n_ef_per_ev_atom=0.85 e_form_ev_per_atom=-0.236 pbc="T T T"
Gd 0.0000 0.0000 0.0000
Cd 0.0000 0.0000 3.7798
In 1.8423 1.8423 2.0698
In 1.8423 1.8423 5.4897



[5]
4
Lattice="5.3552 0.0000 0.0000 0.0000 5.3552 0.0000 0.0000 0.0000 3.7723" Properties=species:S:1:pos:R:3 comment="PBE-GGA Gd2CdIn, optimized geometry" sg="No. 123" relative_energy_mev_per_atom=4.8 energy_ev_per_atom=-8.40 n_ef_per_ev_atom=0.53 e_form_ev_per_atom=-0.442 pbc="T T T"
Gd 0.0000 2.6776 0.0000
Gd 2.6776 0.0000 0.0000
Cd 0.0000 0.0000 1.8861
In 2.6776 2.6776 1.8861



[6]
16
Lattice="7.4189 0.0000 0.0000 0.0000 7.4189 0.0000 0.0000 0.0000 7.4189" Properties=species:S:1:pos:R:3 comment="PBE-GGA GdCdIn2, optimized geometry" sg="No. 225" relative_energy_mev_per_atom=162.1 energy_ev_per_atom=-5.35 n_ef_per_ev_atom=0.70 e_form_ev_per_atom=-0.228 pbc="T T T"
Gd 0.0000 0.0000 0.0000
Gd 0.0000 3.7094 3.7094
Gd 3.7094 0.0000 3.7094
Gd 3.7094 3.7094 0.0000
Cd 0.0000 0.0000 3.7094
Cd 0.0000 3.7094 0.0000
Cd 3.7094 0.0000 0.0000
Cd 3.7094 3.7094 3.7094
In 1.8547 1.8547 1.8547
In 1.8547 1.8547 5.5641
In 1.8547 5.5641 1.8547
In 1.8547 5.5641 5.5641
In 5.5641 1.8547 1.8547
In 5.5641 1.8547 5.5641
In 5.5641 5.5641 1.8547
In 5.5641 5.5641 5.5641



[7]
16
Lattice="7.5589 0.0000 0.0000 0.0000 7.5589 0.0000 0.0000 0.0000 7.5589" Properties=species:S:1:pos:R:3 comment="PBE-GGA Gd2CdIn, optimized geometry" sg="No. 225" relative_energy_mev_per_atom=0.0 energy_ev_per_atom=-8.40 n_ef_per_ev_atom=0.65 e_form_ev_per_atom=-0.447 pbc="T T T"
Gd 1.8897 1.8897 1.8897
Gd 1.8897 1.8897 5.6692
Gd 1.8897 5.6692 1.8897
Gd 1.8897 5.6692 5.6692
Gd 5.6692 1.8897 1.8897
Gd 5.6692 1.8897 5.6692
Gd 5.6692 5.6692 1.8897
Gd 5.6692 5.6692 5.6692
Cd 0.0000 0.0000 0.0000
Cd 0.0000 3.7795 3.7795
Cd 3.7795 0.0000 3.7795
Cd 3.7795 3.7795 0.0000
In 0.0000 0.0000 3.7795
In 0.0000 3.7795 0.0000
In 3.7795 0.0000 0.0000
In 3.7795 3.7795 3.7795



[8]
4
Lattice="4.6581 0.0000 0.0000 0.0000 4.6581 0.0000 0.0000 0.0000 4.5784" Properties=species:S:1:pos:R:3 comment="PBE-GGA GdCdIn2, optimized geometry" sg="No. 123" relative_energy_mev_per_atom=0.0 energy_ev_per_atom=-5.51 n_ef_per_ev_atom=0.53 e_form_ev_per_atom=-0.390 pbc="T T T"
Gd 0.0000 0.0000 0.0000
Cd 2.3290 2.3290 0.0000
In 0.0000 2.3290 2.2892
In 2.3290 0.0000 2.2892



[9]
16
Lattice="7.7489 0.0000 0.0000 0.0000 7.7489 0.0000 0.0000 0.0000 7.7489" Properties=species:S:1:pos:R:3 comment="PBE-GGA LaGdCdIn, optimized geometry" sg="No. 216" energy_ev_per_atom=-6.10 n_ef_per_ev_atom=1.14 e_form_ev_per_atom=-0.431 pbc="T T T"
La 0.0000 0.0000 0.0000
La 0.0000 3.8744 3.8744
La 3.8744 0.0000 3.8744
La 3.8744 3.8744 0.0000
Gd 0.0000 0.0000 3.8744
Gd 0.0000 3.8744 0.0000
Gd 3.8744 0.0000 0.0000
Gd 3.8744 3.8744 3.8744
Cd 1.9372 1.9372 5.8117
Cd 1.9372 5.8117 1.9372
Cd 5.8117 1.9372 1.9372
Cd 5.8117 5.8117 5.8117
In 1.9372 1.9372 1.9372
In 1.9372 5.8117 5.8117
In 5.8117 1.9372 5.8117
In 5.8117 5.8117 1.9372



[10]
16
Lattice="7.4675 0.0000 0.0000 0.0000 7.4675 0.0000 0.0000 0.0000 7.4675" Properties=species:S:1:pos:R:3 comment="PBE-GGA NaGdCdIn, optimized geometry" sg="No. 216" energy_ev_per_atom=-5.00 n_ef_per_ev_atom=0.73 e_form_ev_per_atom=-0.238 pbc="T T T"
Na 0.0000 0.0000 0.0000
Na 0.0000 3.7338 3.7338
Na 3.7338 0.0000 3.7338
Na 3.7338 3.7338 0.0000
Gd 0.0000 0.0000 3.7338
Gd 0.0000 3.7338 0.0000
Gd 3.7338 0.0000 0.0000
Gd 3.7338 3.7338 3.7338
Cd 1.8669 1.8669 5.6006
Cd 1.8669 5.6006 1.8669
Cd 5.6006 1.8669 1.8669
Cd 5.6006 5.6006 5.6006
In 1.8669 1.8669 1.8669
In 1.8669 5.6006 5.6006
In 5.6006 1.8669 5.6006
In 5.6006 5.6006 1.8669



[11]
16
Lattice="7.6582 0.0000 0.0000 0.0000 7.6582 0.0000 0.0000 0.0000 7.6582" Properties=species:S:1:pos:R:3 comment="PBE-GGA NdGdCdIn, optimized geometry" sg="No. 216" energy_ev_per_atom=-6.05 n_ef_per_ev_atom=0.88 e_form_ev_per_atom=-0.426 pbc="T T T"
Nd 0.0000 0.0000 0.0000
Nd 0.0000 3.8291 3.8291
Nd 3.8291 0.0000 3.8291
Nd 3.8291 3.8291 0.0000
Gd 0.0000 0.0000 3.8291
Gd 0.0000 3.8291 0.0000
Gd 3.8291 0.0000 0.0000
Gd 3.8291 3.8291 3.8291
Cd 1.9145 1.9145 5.7436
Cd 1.9145 5.7436 1.9145
Cd 5.7436 1.9145 1.9145
Cd 5.7436 5.7436 5.7436
In 1.9145 1.9145 1.9145
In 1.9145 5.7436 5.7436
In 5.7436 1.9145 5.7436
In 5.7436 5.7436 1.9145



[12]
16
Lattice="6.9159 0.0000 0.0000 0.0000 6.9159 0.0000 0.0000 0.0000 6.9159" Properties=species:S:1:pos:R:3 comment="PBE-GGA GdCdInNi, optimized geometry" sg="No. 216" energy_ev_per_atom=-6.12 n_ef_per_ev_atom=0.56 e_form_ev_per_atom=-0.240 pbc="T T T"
Gd 0.0000 0.0000 0.0000
Gd 0.0000 3.4579 3.4579
Gd 3.4579 0.0000 3.4579
Gd 3.4579 3.4579 0.0000
Cd 1.7290 1.7290 5.1869
Cd 1.7290 5.1869 1.7290
Cd 5.1869 1.7290 1.7290
Cd 5.1869 5.1869 5.1869
In 0.0000 0.0000 3.4579
In 0.0000 3.4579 0.0000
In 3.4579 0.0000 0.0000
In 3.4579 3.4579 3.4579
Ni 1.7290 1.7290 1.7290
Ni 1.7290 5.1869 5.1869
Ni 5.1869 1.7290 5.1869
Ni 5.1869 5.1869 1.7290